The following is a DFT calculation (PBE) of crystalline BeTeNO2 at its relaxed geometry.

Cell: 3.9261 3.9261 4.0936 Å, 90.00 90.00 90.00°
Closest atoms and distances in Å follow each position.
Space group P4/mmm (No. 123)
Unique sites:
Be: 0.0000 0.0000 0.0000 x1  4 N 2.78, 8 O 2.84
Te: 0.5000 0.5000 0.5000 x1  4 O 1.96, 2 N 2.05
N: 0.5000 0.5000 0.0000 x1  2 Te 2.05
O: 0.0000 0.5000 0.5000 x2  2 Te 1.96

- Formation energy (no corrections): 485 meV per atom
- Density: 4.81 g/cm³